An optimized crystal structure of Li4Mn3Cu3Te2O16. Source: Alexandria via LeMat-Bulk, functional GGA+U.

* calculated volume: 10.85 Å³/atom
* VASP energy: -5.875 eV/atom

Lattice parameters (Å, degrees): 5.9629 5.9346 9.9096 90.00 87.87 119.84
Closest atoms and distances in Å follow each position.
Sites, in units of the cell vectors:
1 Li 0.3294 0.6647 0.9171  4 O 1.99-2.03
2 Li 0.9968 0.9984 0.9840  4 O 1.89-2.04
3 Li 0.0057 0.0029 0.4787  3 O 1.88-2.04
4 Li 0.6804 0.3402 0.4137  4 O 1.96-2.03
5 Mn 0.6603 0.8302 0.2123  6 O 1.93-2.11
6 Mn 0.8286 0.6606 0.7114  5 O 1.91-2.14
7 Mn 0.8286 0.1680 0.7114  5 O 1.91-2.14
8 Cu 0.1714 0.8327 0.2101  4 O 1.90-2.10
9 Cu 0.1713 0.3387 0.2101  4 O 1.90-2.10
10 Cu 0.3372 0.1686 0.7110  2 O 1.93
11 Te 0.3402 0.6701 0.4815  6 O 1.95-2.01
12 Te 0.6609 0.3305 0.9819  6 O 1.95-2.00
13 O 0.1598 0.8233 0.5853  1 Te 1.98, 1 Li 2.04, 1 Mn 2.08, 1 Cu 2.19
14 O 0.0520 0.5261 0.3513  1 Li 1.99, 1 Te 2.01, 2 Cu 2.10
15 O 0.3382 0.6692 0.1219  2 Cu 1.90, 1 Mn 1.93, 1 Li 2.03
16 O 0.9966 0.9983 0.2893  1 Li 1.88, 2 Cu 1.90, 1 Mn 1.93
17 O 0.9917 0.9959 0.7934  1 Li 1.89, 2 Mn 1.92, 1 Cu 1.93
18 O 0.1597 0.3366 0.5853  1 Te 1.98, 1 Li 2.04, 1 Mn 2.08, 1 Cu 2.19
19 O 0.5071 0.9760 0.3614  1 Te 1.95, 1 Li 1.96, 1 Mn 2.11
20 O 0.5069 0.5308 0.3614  1 Te 1.95, 1 Li 1.96, 1 Mn 2.11
21 O 0.3240 0.1620 0.0864  1 Te 1.99, 1 Li 2.01, 2 Cu 2.07
22 O 0.6473 0.8236 0.5939  1 Te 1.98, 1 Li 2.13, 2 Mn 2.14
23 O 0.5219 0.4870 0.8544  1 Li 1.99, 1 Te 2.00, 1 Mn 2.08, 1 Cu 2.20
24 O 0.5221 0.0348 0.8544  1 Li 1.99, 1 Te 2.00, 1 Mn 2.08, 1 Cu 2.20
25 O 0.6748 0.3374 0.6192  2 Mn 1.91, 1 Cu 1.93, 1 Li 2.03
26 O 0.8100 0.6491 0.0857  1 Te 1.95, 1 Li 2.04, 1 Mn 2.10
27 O 0.9669 0.4836 0.8558  1 Te 1.97, 1 Li 2.00, 2 Mn 2.19
28 O 0.8101 0.1611 0.0857  1 Te 1.95, 1 Li 2.04, 1 Mn 2.10